(1)
VASP calculation (GGA-PBE) on a relaxed structure of Rb3Cd2Pb8.

Values from the calculation:
Its crystal system is triclinic.

Cell lengths 6.944, 8.521, 9.090 Å; angles 108.46, 98.31, 101.15 degrees
Space group P-1 (No. 2)
Asymmetric unit:
1 Rb 0.000 0.000 0.000
2 Rb 0.240 0.458 0.840
3 Cd 0.234 0.034 0.491
4 Pb 0.088 0.737 0.605
5 Pb 0.309 0.657 0.312
6 Pb 0.419 0.292 0.354
7 Pb 0.475 0.059 0.837

---

(2)
VASP calculation (GGA-PBE) on a relaxed structure of RbCd2Pb3.

Values from the calculation:
Its crystal system is monoclinic. The offset from the most stable computed form is 0.00 eV/f.u.

Cell lengths 20.606, 5.003, 12.457 Å; angles 90.00, 106.81, 90.00 degrees
Space group C2/m (No. 12)
Asymmetric unit:
1 Rb 0.000 0.000 0.000
2 Rb 0.156 0.000 0.708
3 Cd 0.025 0.500 0.776
4 Cd 0.150 0.500 0.469
5 Cd 0.199 0.000 0.096
6 Pb 0.000 0.500 0.500
7 Pb 0.052 0.000 0.360
8 Pb 0.128 0.500 0.197
9 Pb 0.162 0.500 0.950
10 Pb 0.210 0.000 0.357

---

(3)
VASP calculation (GGA-PBE) on a relaxed structure of RbCd3Pb3.

Values from the calculation:
Its crystal system is cubic. The offset from the most stable computed form is 0.96 eV/f.u.

Cell lengths 8.303, 8.303, 8.303 Å; angles 90.00, 90.00, 90.00 degrees
Space group Pm-3n (No. 223)
Asymmetric unit:
1 Rb 0.000 0.000 0.000
2 Cd 0.000 0.250 0.500
3 Pb 0.000 0.500 0.250

---

(4)
VASP calculation (GGA-PBE) on a relaxed structure of Rb2CdPb6.

Values from the calculation:
Its crystal system is monoclinic.

Cell lengths 13.226, 7.020, 7.637 Å; angles 90.00, 108.79, 90.00 degrees
Space group C2/m (No. 12)
Asymmetric unit:
1 Rb 0.148 0.000 0.363
2 Cd 0.000 0.500 0.500
3 Pb 0.111 0.500 0.165
4 Pb 0.135 0.245 0.840

---

(5)
VASP calculation (GGA-PBE) on a relaxed structure of Rb2Cd2Pb.

Values from the calculation:
Its crystal system is tetragonal. The offset from the most stable computed form is 0.75 eV/f.u.

Cell lengths 4.141, 4.141, 24.174 Å; angles 90.00, 90.00, 90.00 degrees
Space group I4/mmm (No. 139)
Asymmetric unit:
1 Rb 0.000 0.000 0.107
2 Cd 0.000 0.500 0.250
3 Pb 0.000 0.000 0.500

---

(6)
VASP calculation (GGA-PBE) on a relaxed structure of Rb5Cd2Pb12.

Values from the calculation:
Its crystal system is monoclinic.

Cell lengths 21.745, 8.434, 8.098 Å; angles 90.00, 99.44, 90.00 degrees
Space group C2/m (No. 12)
Asymmetric unit:
1 Rb 0.000 0.000 0.000
2 Rb 0.190 0.500 0.565
3 Rb 0.235 0.000 0.887
4 Cd 0.000 0.316 0.500
5 Pb 0.043 0.500 0.188
6 Pb 0.081 0.000 0.542
7 Pb 0.099 0.312 0.867
8 Pb 0.146 0.183 0.248

---

(7)
VASP calculation (GGA-PBE) on a relaxed structure of RbCd3Pb10.

Values from the calculation:
Its crystal system is cubic.

Cell lengths 15.561, 15.561, 15.561 Å; angles 90.00, 90.00, 90.00 degrees
Space group Fm-3m (No. 225)
Asymmetric unit:
1 Rb 0.250 0.250 0.250
2 Cd 0.000 0.000 0.229
3 Pb 0.000 0.176 0.324
4 Pb 0.118 0.118 0.118

---

(8)
VASP calculation (GGA-PBE) on a relaxed structure of RbCd2Pb.

Values from the calculation:
Its crystal system is monoclinic.

Cell lengths 13.316, 5.139, 8.184 Å; angles 90.00, 97.32, 90.00 degrees
Space group Cm (No. 8)
Asymmetric unit:
1 Rb 0.000 0.000 0.000
2 Rb 0.108 0.000 0.469
3 Cd 0.244 0.500 0.167
4 Cd 0.286 0.000 0.927
5 Cd 0.365 0.000 0.288
6 Cd 0.432 0.000 0.677
7 Pb 0.168 0.500 0.802
8 Pb 0.329 0.500 0.533

---

(9)
VASP calculation (GGA-PBE) on a relaxed structure of RbCd6Pb6.

Values from the calculation:
Its crystal system is orthorhombic.

Cell lengths 6.214, 10.651, 11.423 Å; angles 90.00, 90.00, 90.00 degrees
Space group Immm (No. 71)
Asymmetric unit:
1 Rb 0.000 0.000 0.000
2 Cd 0.000 0.500 0.273
3 Cd 0.250 0.250 0.250
4 Pb 0.000 0.000 0.354
5 Pb 0.000 0.302 0.500
6 Pb 0.000 0.348 0.000

---

(10)
VASP calculation (GGA-PBE) on a relaxed structure of RbCd2Pb2.

Values from the calculation:
Its crystal system is tetragonal. The offset from the most stable computed form is 0.00 eV/f.u.

Cell lengths 5.024, 5.024, 13.293 Å; angles 90.00, 90.00, 90.00 degrees
Space group I4/mmm (No. 139)
Asymmetric unit:
1 Rb 0.000 0.000 0.000
2 Cd 0.000 0.000 0.393
3 Pb 0.000 0.500 0.250

---

(11)
VASP calculation (GGA-PBE) on a relaxed structure of RbCd2Pb2.

Values from the calculation:
Its crystal system is tetragonal. The offset from the most stable computed form is 0.43 eV/f.u.

Cell lengths 9.504, 9.504, 3.527 Å; angles 90.00, 90.00, 90.00 degrees
Space group P4/mbm (No. 127)
Asymmetric unit:
1 Rb 0.000 0.000 0.000
2 Cd 0.156 0.344 0.500
3 Pb 0.133 0.633 0.000

---

(12)
VASP calculation (GGA-PBE) on a relaxed structure of Rb3Cd8Pb.

Values from the calculation:
Its crystal system is trigonal.

Cell lengths 6.3735, 6.3735, 31.7497 Å; angles 90.00, 90.00, 120.00 degrees
Space group R3m (No. 160, hexagonal axes)
Asymmetric unit:
1 Rb 0.0000 0.0000 0.0000
2 Rb 0.0000 0.0000 0.1267
3 Rb 0.0000 0.0000 0.6240
4 Cd 0.0000 0.0000 0.3135
5 Cd 0.0000 0.0000 0.8133
6 Cd 0.0067 0.5033 0.0663
7 Cd 0.1679 0.3357 0.8926
8 Pb 0.0000 0.0000 0.5045

---

Number 1: size of the total moment 0.0 μB per formula unit, uncorrected energy -35.16 eV per cell. Number 2: size of the total moment 0.0 μB per formula unit, uncorrected energy -85.47 eV per cell. Number 3: size of the total moment 0.0 μB per formula unit, uncorrected energy -27.84 eV per cell. Number 4: size of the total moment 0.0 μB per formula unit, uncorrected energy -51.58 eV per cell. Number 5: size of the total moment 0.0 μB per formula unit, uncorrected energy -14.52 eV per cell. Number 6: size of the total moment 0.0 μB per formula unit, uncorrected energy -103.95 eV per cell. Number 7: size of the total moment 0.0 μB per formula unit, uncorrected energy -318.43 eV per cell. Number 8: size of the total moment 0.0 μB per formula unit, uncorrected energy -27.10 eV per cell. Number 9: size of the total moment 0.0 μB per formula unit, uncorrected energy -58.14 eV per cell. Number 10: size of the total moment 0.0 μB per formula unit, uncorrected energy -21.46 eV per cell. Number 11: size of the total moment 0.0 μB per formula unit, uncorrected energy -20.61 eV per cell. Number 12: size of the total moment 0.0 μB per formula unit, uncorrected energy -42.55 eV per cell.